4
Lattice="5.6669 0.0000 0.0000 0.0000 5.9315 0.0000 0.0000 0.0000 3.0430" Properties=species:S:1:pos:R:3 comment="GGA-PBEsol AlSb2Cl, optimized geometry" e_above_lowest_polymorph_ev_per_atom=0.073 crystal_system=orthorhombic dos_at_fermi_per_ev_cell=1.97 raw_formation_energy_ev_per_atom=-0.03 pbc="T T T"
Al 0.0000 0.0000 0.0000
Sb 2.8335 0.0000 0.0450
Sb 2.8335 2.9658 0.0042
Cl 0.0000 2.9658 0.0050